! Pr14YPb | Alexandria via LeMat-Bulk | PBE | relaxed; values from VASP
! Formation energy, kJ per mole of atoms: -5.5
&SYSTEM
  ibrav = 0, nat = 16, ntyp = 3
/
ATOMIC_SPECIES
Pr 140.91 Pr.upf
Pb 207.20 Pb.upf
Y 88.91 Y.upf
CELL_PARAMETERS angstrom
7.2671 0.9753 0.0000
-0.9747 7.2672 0.0000
0.0000 0.0000 10.4102
ATOMIC_POSITIONS crystal
Pr 0.6272 0.8772 0.7551
Pr 0.8748 0.6250 0.5000
Pr 0.6272 0.8772 0.2449
Pr 0.6274 0.3726 0.7551
Pr 0.6274 0.3726 0.2449
Pr 0.1227 0.8773 0.2450
Pr 0.1228 0.3728 0.2449
Pr 0.8749 0.1251 0.5000
Pr 0.3748 0.1248 0.0000
Pr 0.3750 0.1252 0.5000
Pr 0.3748 0.6252 0.5000
Pr 0.1228 0.3728 0.7551
Pr 0.8752 0.6252 0.0000
Pr 0.1227 0.8773 0.7550
Pb 0.8751 0.1249 0.0000
Y 0.3751 0.6249 0.0000

***

! MnSb2Au | Alexandria via LeMat-Bulk | PBE | relaxed; values from VASP
! Energy above the most stable polymorph in this dataset, meV per atom: 199
! Energy relative to the elements, uncorrected, eV per atom: 0.228
&SYSTEM
  ibrav = 0, nat = 4, ntyp = 3
/
ATOMIC_SPECIES
Sb 121.76 Sb.upf
Au 196.97 Au.upf
Mn 54.94 Mn.upf
CELL_PARAMETERS angstrom
-4.4101 1.9388 2.1110
-2.7636 -4.2228 1.4814
4.9757 1.3140 1.0865
ATOMIC_POSITIONS crystal
Sb 0.4988 0.4988 0.0000
Sb 0.0012 0.0012 0.0000
Au 0.7500 0.2500 0.5000
Mn 0.2500 0.7500 0.5000

***

! CoC3Cl | Alexandria via LeMat-Bulk | PBE | relaxed; values from VASP
! Energy above the most stable polymorph in this dataset, meV per atom: 0
! Energy relative to the elements, uncorrected, eV per atom: 2.292
&SYSTEM
  ibrav = 0, nat = 5, ntyp = 3
/
ATOMIC_SPECIES
Co 58.93 Co.upf
C 12.01 C.upf
Cl 35.45 Cl.upf
CELL_PARAMETERS angstrom
3.8097 0.0000 0.0000
0.0000 3.8097 0.0000
0.0000 0.0000 3.8097
ATOMIC_POSITIONS crystal
Co 0.0000 0.0000 0.0000
C 0.5000 0.0000 0.0000
C 0.0000 0.5000 0.0000
C 0.0000 0.0000 0.5000
Cl 0.5000 0.5000 0.5000

***

! BaAg3 | Alexandria via LeMat-Bulk | PBE | relaxed; values from VASP
! Formation energy, kJ per mole of atoms: -5.0
! Energy above the most stable polymorph in this dataset, meV per atom: 137
&SYSTEM
  ibrav = 0, nat = 16, ntyp = 2
/
ATOMIC_SPECIES
Ag 107.87 Ag.upf
Ba 137.33 Ba.upf
CELL_PARAMETERS angstrom
7.4416 0.0000 0.0000
-3.7208 6.4446 0.0000
0.0000 0.0000 9.1549
ATOMIC_POSITIONS crystal
Ag 0.5864 0.7932 0.2500
Ag 0.5000 0.0000 0.0000
Ag 0.5000 0.5000 0.5000
Ag 0.0000 0.5000 0.5000
Ag 0.2068 0.7932 0.2500
Ag 0.5000 0.0000 0.5000
Ag 0.0000 0.5000 0.0000
Ag 0.7932 0.2068 0.7500
Ag 0.7932 0.5864 0.7500
Ag 0.5000 0.5000 0.0000
Ag 0.2068 0.4136 0.2500
Ag 0.4136 0.2068 0.7500
Ba 0.0000 0.0000 0.5000
Ba 0.6667 0.3333 0.2500
Ba 0.3333 0.6667 0.7500
Ba 0.0000 0.0000 0.0000

***

! Sr3NbPd | Alexandria via LeMat-Bulk | PBE | relaxed; values from VASP
! Formation energy, kJ per mole of atoms: 99.8
! Energy above the most stable polymorph in this dataset, meV per atom: 546
&SYSTEM
  ibrav = 0, nat = 5, ntyp = 3
/
ATOMIC_SPECIES
Sr 87.62 Sr.upf
Nb 92.91 Nb.upf
Pd 106.42 Pd.upf
CELL_PARAMETERS angstrom
-4.0033 -3.1552 -2.5471
4.0123 -2.5642 -3.1299
0.5868 -3.9925 4.0231
ATOMIC_POSITIONS crystal
Sr 0.0000 0.0000 0.5000
Sr 0.5000 0.0000 0.0000
Sr 0.0000 0.5000 0.0000
Nb 0.0000 0.0000 0.0000
Pd 0.5000 0.5000 0.5000

***

no.,V (Å³ per cell),DFT total energy (eV per atom)
1,559.7,-4.875
2,85.6,-4.945
3,55.3,-5.033
4,439.1,-2.671
5,185.0,-3.027